Entry 1:
Material: FeP2Pt
Method: DFT, GGA-PBE
State: optimized geometry

Output
Distance to the lowest polymorph of the same formula   0.250 eV per atom
DFT formation energy   -0.105 eV per atom
Volume   52.54 Å³/cell

The structure in POSCAR format:
```
FeP2Pt
1.0
3.6425 -1.4840 0.0000
3.6425 1.4840 0.0000
-1.0776 0.0000 4.8598
Fe P Pt
1 2 1
Cartesian
0.0000 0.0000 0.0000
1.0498 0.0000 3.8395
5.1575 0.0000 1.0203
3.1037 0.0000 2.4299
```



Entry 2:
Material: FePPt
Method: DFT, GGA-PBE
State: optimized geometry

Output
DFT formation energy   -0.033 eV per atom
Volume   42.44 Å³/cell

The structure in POSCAR format:
```
FePPt
1.0
-1.7240 1.7240 3.5698
1.7240 -1.7240 3.5698
1.7240 1.7240 -3.5698
Fe P Pt
1 1 1
Cartesian
0.0000 0.0000 0.0000
0.0000 0.0000 2.2329
0.0000 0.0000 4.6149
```